Below is Tb2ScVO6 after structural relaxation, with properties calculated at the PBE+U level.

Results
calculated total energy = -0.6202 Ry/atom
total magnetization = 0.200 μB/atom
theoretical density = 6.651 g cm⁻³

Lattice parameters (Å, degrees): 5.543 5.566 5.695 118.61 90.14 119.66
Space group P1 (No. 1)
One atom of each set of equivalent atoms:
1 Tb 0.000 0.000 0.000 [1 per cell]
2 Tb 0.495 0.996 0.492 [1 per cell]
3 Sc 0.275 0.552 0.829 [1 per cell]
4 V 0.780 0.559 0.340 [1 per cell]
5 O 0.054 0.481 0.131 [1 per cell]
6 O 0.139 0.063 0.626 [1 per cell]
7 O 0.420 0.061 0.124 [1 per cell]
8 O 0.562 0.698 0.619 [1 per cell]
9 O 0.644 0.700 0.130 [1 per cell]
10 O 0.916 0.484 0.623 [1 per cell]

***

Below is TbSc2WO8 after structural relaxation, with properties calculated at the PBE+U level.

Results
calculated total energy = -0.6002 Ry/atom
total magnetization = 0.054 μB/atom
theoretical density = 5.957 g cm⁻³

Lattice parameters (Å, degrees): 6.844 6.892 6.627 90.00 90.00 90.00
Space group Cmmm (No. 65)
One atom of each set of equivalent atoms:
1 Tb 0.000 0.000 0.000 [2 per cell]
2 Sc 0.000 0.500 0.255 [4 per cell]
3 W 0.000 0.000 0.500 [2 per cell]
4 O 0.000 0.193 0.286 [8 per cell]
5 O 0.178 0.500 0.000 [4 per cell]
6 O 0.212 0.500 0.500 [4 per cell]

***

Below is TbScWO6 after structural relaxation, with properties calculated at the PBE+U level.

Results
calculated total energy = -0.6062 Ry/atom
total magnetization = 0.000 μB/atom
theoretical density = 6.714 g cm⁻³

Lattice parameters (Å, degrees): 5.3276 5.3276 9.7345 90.00 90.00 120.00
Space group P-31c (No. 163)
One atom of each set of equivalent atoms:
1 Tb 0.0000 0.0000 0.0000 [2 per cell]
2 Sc 0.3333 0.6667 0.2500 [2 per cell]
3 W 0.3333 0.6667 0.7500 [2 per cell]
4 O 0.0226 0.3667 0.6386 [12 per cell]

***

Which of these has the highest theoretical density?
TbScWO6

***

What did the second record say?
Below is TbSc2WO8 after structural relaxation, with properties calculated at the PBE+U level.

Results
calculated total energy = -0.6002 Ry/atom
total magnetization = 0.054 μB/atom
theoretical density = 5.957 g cm⁻³

Lattice parameters (Å, degrees): 6.844 6.892 6.627 90.00 90.00 90.00
Space group Cmmm (No. 65)
One atom of each set of equivalent atoms:
1 Tb 0.000 0.000 0.000 [2 per cell]
2 Sc 0.000 0.500 0.255 [4 per cell]
3 W 0.000 0.000 0.500 [2 per cell]
4 O 0.000 0.193 0.286 [8 per cell]
5 O 0.178 0.500 0.000 [4 per cell]
6 O 0.212 0.500 0.500 [4 per cell]

***

Look up the theoretical density of the second one.
5.957 g cm⁻³

***

Which of these has the lowest total magnetization?
TbScWO6